1.
The following is a DFT calculation (PBE) of a relaxed structure of ScMn2.

a = 5.9765 Å, b = 5.9765 Å, c = 5.9765 Å
α = 151.35°, β = 151.35°, γ = 40.97°
With the nearest neighbours (Å) after each atom.
Sites, in units of the cell vectors:
Mn1 0.0111 0.0111 0.0000  8 Mn 2.64-2.96, 4 Sc 2.89
Mn2 0.6555 0.6555 0.0000  8 Mn 2.64-2.96, 4 Sc 2.89
Sc1 0.3333 0.3333 0.0000  8 Mn 2.89, 4 Sc 2.96

Output
Calculated formation energy   284 meV per atom
Symmetry   I4/mmm
Raw total energy   -23.82 eV/cell

2.
The following is a DFT calculation (PBE) of a relaxed structure of Cs2BaTe2O6.

a = 6.7849 Å, b = 6.7918 Å, c = 8.1482 Å
α = 100.21°, β = 90.00°, γ = 119.97°
With the nearest neighbours (Å) after each atom.
Sites, in units of the cell vectors:
Cs1 0.8074 0.6149 0.3208  9 O 3.31-3.44
Cs2 0.1926 0.3851 0.6792  9 O 3.31-3.44
Ba1 0.5000 0.0000 0.5000  6 O 2.67-2.68
Te1 0.8736 0.7471 0.7905  3 O 1.88
Te2 0.1264 0.2529 0.2095  3 O 1.88
O1 0.7148 0.4296 0.6882  1 Te 1.88
O2 0.2860 0.1455 0.3204  1 Te 1.88
O3 0.1404 0.8545 0.6796  1 Te 1.88
O4 0.7140 0.8545 0.6796  1 Te 1.88
O5 0.8596 0.1455 0.3204  1 Te 1.88
O6 0.2852 0.5704 0.3118  1 Te 1.88

Output
Energy relative to the elements, uncorrected   -1784 kJ/mol of formula units
Symmetry   C2/m
Raw total energy   -58.15 eV/cell

3.
The following is a DFT calculation (PBE) of a relaxed structure of Nd4Dy7Y.

a = 6.8643 Å, b = 6.5745 Å, c = 11.8627 Å
α = 75.60°, β = 50.04°, γ = 82.08°
With the nearest neighbours (Å) after each atom.
Sites, in units of the cell vectors:
Nd1 0.5247 0.6375 0.2839  8 Dy 3.34-3.70, 1 Y 3.42, 2 Nd 3.53-3.56
Nd2 0.4753 0.3625 0.7161  8 Dy 3.34-3.70, 1 Y 3.42, 2 Nd 3.53-3.56
Nd3 0.6921 0.8391 0.6930  7 Dy 3.39-3.71, 2 Nd 3.53-3.56
Nd4 0.3079 0.1609 0.3070  7 Dy 3.39-3.71, 2 Nd 3.53-3.56
Dy1 0.8031 0.5123 0.9495  5 Dy 3.39-3.57, 4 Nd 3.39-3.71, 1 Y 3.51
Dy2 0.1969 0.4877 0.0505  5 Dy 3.39-3.57, 4 Nd 3.39-3.71, 1 Y 3.51
Dy3 0.0580 0.3172 0.6416  5 Dy 3.40-3.74, 4 Nd 3.48-3.56
Dy4 0.9420 0.6828 0.3584  5 Dy 3.40-3.74, 4 Nd 3.48-3.56
Dy5 0.2785 0.8117 0.6162  5 Dy 3.30-3.64, 4 Nd 3.34-3.59
Dy6 0.5000 0.0000 0.0000  4 Nd 3.39-3.70, 2 Y 3.43, 4 Dy 3.53-3.74
Dy7 0.7215 0.1883 0.3838  5 Dy 3.30-3.64, 4 Nd 3.34-3.59
Y1 0.0000 0.0000 0.0000  2 Nd 3.42, 4 Dy 3.43-3.51

Output
Calculated formation energy   86 meV per atom
Symmetry   P-1
Raw total energy   -56.72 eV/cell
Polymorph energy (0 for the lowest one)   0 meV/atom

4.
The following is a DFT calculation (PBE) of a relaxed structure of La3PuAs4.

a = 4.3237 Å, b = 7.4775 Å, c = 7.4775 Å
α = 109.48°, β = 90.00°, γ = 90.00°
With the nearest neighbours (Å) after each atom.
Sites, in units of the cell vectors:
La1 0.0000 0.0000 0.5000  6 As 3.05-3.06
La2 0.5000 0.5000 0.5000  6 As 3.12
La3 0.0000 0.5000 0.0000  6 As 3.05-3.06
Pu1 0.5000 0.0000 0.0000  6 As 2.99
As1 0.0000 0.2392 0.2392  2 Pu 2.99, 4 La 3.05-3.12
As2 0.5000 0.7551 0.2449  1 Pu 2.99, 5 La 3.06-3.12
As3 0.0000 0.7608 0.7608  2 Pu 2.99, 4 La 3.05-3.12
As4 0.5000 0.2449 0.7551  1 Pu 2.99, 5 La 3.06-3.12

Output
Calculated formation energy   -1408 meV per atom
Symmetry   Cmmm
Raw total energy   -58.97 eV/cell
Polymorph energy (0 for the lowest one)   5 meV/atom

5.
The following is a DFT calculation (PBE) of a relaxed structure of NaSr3Cl.

a = 6.5940 Å, b = 6.5940 Å, c = 6.5940 Å
α = 90.00°, β = 90.00°, γ = 90.00°
With the nearest neighbours (Å) after each atom.
Sites, in units of the cell vectors:
Sr1 0.0000 0.5000 0.0000  2 Na 3.30
Sr2 0.0000 0.0000 0.5000  2 Na 3.30
Sr3 0.5000 0.0000 0.0000  2 Na 3.30
Na1 0.0000 0.0000 0.0000  6 Sr 3.30
Cl1 0.5000 0.5000 0.5000  12 Sr 4.66

Output
Energy relative to the elements, uncorrected   3 kJ/mol of formula units
Symmetry   Pm-3m
Raw total energy   -8.18 eV/cell
Polymorph energy (0 for the lowest one)   531 meV/atom

6.
The following is a DFT calculation (PBE) of a relaxed structure of CaTe2Os.

a = 3.3044 Å, b = 3.3044 Å, c = 9.3695 Å
α = 90.00°, β = 90.00°, γ = 90.00°
With the nearest neighbours (Å) after each atom.
Sites, in units of the cell vectors:
Ca1 0.0000 0.0000 0.5348  4 Os 3.20, 4 Ca 3.30, 5 Te 3.31-3.54
Te1 0.0000 0.0000 0.9123  4 Os 2.70
Te2 0.5000 0.5000 0.2846  4 Te 3.30, 4 Ca 3.31
Os1 0.5000 0.5000 0.7683  4 Te 2.70

Output
Energy relative to the elements, uncorrected   -47 kJ/mol of formula units
Symmetry   P4mm
Raw total energy   -20.00 eV/cell
Polymorph energy (0 for the lowest one)   258 meV/atom

7.
The following is a DFT calculation (PBE) of a relaxed structure of Mg2ZrTl.

a = 4.6701 Å, b = 3.2130 Å, c = 6.3253 Å
α = 76.21°, β = 90.00°, γ = 90.00°
With the nearest neighbours (Å) after each atom.
Sites, in units of the cell vectors:
Mg1 0.0000 0.0576 0.0135  1 Tl 3.02, 6 Mg 3.13-3.21, 4 Zr 3.31-3.34
Mg2 0.5000 0.4459 0.2341  2 Tl 2.93, 1 Zr 3.09, 6 Mg 3.13-3.21
Tl1 0.0000 0.2974 0.5213  3 Mg 2.93-3.02, 4 Zr 3.11, 2 Tl 3.21
Zr1 0.5000 0.6990 0.7311  6 Mg 3.09-3.43, 4 Tl 3.11, 2 Zr 3.21

Output
Calculated formation energy   15 meV per atom
Symmetry   Pm
Raw total energy   -14.04 eV/cell
Polymorph energy (0 for the lowest one)   125 meV/atom

Question: raw total energy of number 6 (CaTe2Os)?
Answer: -20.00 eV/cell

Question: The lowest raw total energy belongs to which entry?
Answer: La3PuAs4

Question: What is the raw total energy in the sixth record?
Answer: -20.00 eV/cell